# La2MgPbO | the Alexandria database | PBE | relaxed
data_La2MgPbO
_chemical_formula_sum 'La2 Mg1 Pb1 O1'
_space_group_name_H-M_alt 'P 4/m m m'
_space_group_IT_number 123
_space_group_name_Hall '-P 4 2'
_cell_length_a 5.157
_cell_length_b 5.157
_cell_length_c 4.549
_cell_angle_alpha 90.00
_cell_angle_beta 90.00
_cell_angle_gamma 90.00
loop_
_atom_site_label
_atom_site_fract_x
_atom_site_fract_y
_atom_site_fract_z
La1 0.000 0.500 0.000
Mg1 0.000 0.000 0.500
Pb1 0.500 0.500 0.500
O1 0.000 0.000 0.000
# formation energy without anion corrections: -6.673 eV/f.u.
# size of the total moment: 0.0000 μB/atom